Record 1
Entry from Alexandria via LeMat-Bulk: crystalline LaTb2Pr4Sm2 at its relaxed geometry (PBE).

## Properties
Energy of formation   0.017 eV per atom
Electronic total energy   -4.73 eV per atom
M_tot   0.00 μB per formula unit

Cell lengths 15.5532, 5.1919, 8.1893 Å; angles 90.00, 108.40, 90.00 degrees
Last column: nearest neighbours and their distance in Å.
Space group C2/m (No. 12)
Unique sites:
La (0.0000, 0.0000, 0.0000)  6 Pr 3.66, 2 Sm 3.66, 4 Tb 3.69
Tb (0.1685, 0.5000, 0.9985)  5 Pr 3.61-3.70, 2 Tb 3.62, 3 Sm 3.64-3.66, 2 La 3.69
Pr (0.0551, 0.5000, 0.3327)  4 Pr 3.66-3.68, 2 La 3.66, 4 Sm 3.67, 2 Tb 3.67-3.70
Pr (0.2226, 0.0000, 0.3305)  3 Tb 3.61-3.66, 3 Sm 3.66-3.69, 1 La 3.66, 5 Pr 3.68-3.70
Sm (0.1115, 0.0000, 0.6673)  3 Tb 3.64-3.66, 7 Pr 3.66-3.69, 1 La 3.66, 1 Sm 3.68


Record 2
Entry from Alexandria via LeMat-Bulk: crystalline TmHfZr2 at its relaxed geometry (PBE).

## Properties
Relative energy among the computed polymorphs   41 meV per atom
Energy of formation   0.109 eV per atom
Electronic total energy   -7.77 eV per atom
M_tot   0.00 μB per formula unit

Cell lengths 3.7764, 3.7764, 6.8608 Å; angles 90.00, 90.00, 90.00 degrees
Last column: nearest neighbours and their distance in Å.
Space group P4/mmm (No. 123)
Unique sites:
Tm (0.0000, 0.0000, 0.0000)  8 Zr 3.31, 2 Hf 3.43
Hf (0.0000, 0.0000, 0.5000)  8 Zr 3.05
Zr (0.5000, 0.5000, 0.2851)  1 Zr 2.95, 4 Hf 3.05